Record 1
A plane-wave DFT calculation with PBE-GGA was carried out for an optimized crystal structure of Al2MoRh.

POSCAR file:
```
Al2MoRh
1.0
1.428 0.825 8.478
-1.428 0.825 8.478
0.000 -1.649 8.478
Al Mo Rh
2 1 1
Cartesian
0.000 0.000 6.229
0.000 0.000 19.205
0.000 0.000 0.000
0.000 0.000 12.717
```

Calculated values
* DFT total energy: -27.181 eV/cell
* symmetry: R-3m (166)
* V: 59.91 Å³/cell
* distance to the lowest polymorph of the same formula: 179 meV/atom

Record 2
A plane-wave DFT calculation with PBE-GGA was carried out for an optimized crystal structure of Al2MoRh.

POSCAR file:
```
Al2MoRh
1.0
2.785 0.000 0.000
0.000 4.036 0.000
-0.714 0.000 5.305
Al Mo Rh
2 1 1
Cartesian
0.306 0.000 1.351
1.766 0.000 3.954
1.393 2.018 0.000
-0.357 2.018 2.653
```

Calculated values
* DFT total energy: -27.120 eV/cell
* symmetry: P2/m (10)
* V: 59.64 Å³/cell
* distance to the lowest polymorph of the same formula: 194 meV/atom

Record 3
A plane-wave DFT calculation with PBE-GGA was carried out for an optimized crystal structure of AlMoRh2.

POSCAR file:
```
AlMoRh2
1.0
-2.842 2.842 5.261
2.842 -2.842 5.261
2.842 2.842 -5.261
Al Mo Rh
2 2 4
Cartesian
0.000 0.000 0.000
0.000 2.842 2.630
2.842 0.000 2.630
0.000 0.000 5.261
4.263 1.417 -1.315
1.417 1.421 1.315
-1.421 1.425 3.945
1.425 1.421 6.576
```

Calculated values
* DFT total energy: -53.964 eV/cell
* symmetry: I-42d (122)
* V: 169.93 Å³/cell

Record 4
A plane-wave DFT calculation with PBE-GGA was carried out for an optimized crystal structure of AlMoRh4.

POSCAR file:
```
AlMoRh4
1.0
0.000 3.585 3.585
3.585 0.000 3.585
3.585 3.585 0.000
Al Mo Rh
1 1 4
Cartesian
0.000 0.000 0.000
5.378 5.378 5.378
2.687 2.687 2.687
4.484 4.484 2.687
4.484 2.687 4.484
2.687 4.484 4.484
```

Calculated values
* DFT total energy: -43.572 eV/cell
* symmetry: F-43m (216)
* V: 92.19 Å³/cell

Record 5
A plane-wave DFT calculation with PBE-GGA was carried out for an optimized crystal structure of Al2MoRh.

POSCAR file:
```
Al2MoRh
1.0
-3.391 3.391 2.776
3.391 -3.391 2.776
3.391 3.391 -2.776
Al Mo Rh
4 2 2
Cartesian
5.087 1.544 -0.694
1.544 1.696 0.694
-1.696 1.847 2.082
1.847 1.696 3.470
3.391 0.000 1.388
0.000 0.000 2.776
0.000 0.000 0.000
0.000 3.391 1.388
```

Calculated values
* DFT total energy: -50.989 eV/cell
* symmetry: I-42d (122)
* V: 127.72 Å³/cell
* distance to the lowest polymorph of the same formula: 600 meV/atom

Record 6
A plane-wave DFT calculation with PBE-GGA was carried out for an optimized crystal structure of Al2MoRh.

POSCAR file:
```
Al2MoRh
1.0
4.741 -1.424 0.000
4.741 1.424 0.000
-1.388 0.000 4.369
Al Mo Rh
2 1 1
Cartesian
0.000 0.000 0.000
1.367 0.000 2.847
3.926 0.000 2.181
6.840 0.000 0.603
```

Calculated values
* DFT total energy: -27.404 eV/cell
* symmetry: Cm (8)
* V: 58.98 Å³/cell
* distance to the lowest polymorph of the same formula: 123 meV/atom